1.
! PBE Ti6GeBi2, relaxed; values from VASP
! D(E_F), states/eV per cell: 10.321
! Magnetic moment, μB/f.u.: 0.00
! Space-group type: Immm, No. 71
&SYSTEM
  ibrav = 0, nat = 9, ntyp = 3
/
ATOMIC_SPECIES
Ti 47.87 Ti.upf
Ge 72.64 Ge.upf
Bi 208.98 Bi.upf
CELL_PARAMETERS angstrom
-2.1525 3.3750 6.6472
2.1525 -3.3750 6.6472
2.1525 3.3750 -6.6472
ATOMIC_POSITIONS crystal
Ti 0.0647 0.3392 0.7255
Ti 0.2181 0.0000 0.2181
Ti 0.3863 0.6608 0.7255
Ti 0.6137 0.3392 0.2745
Ti 0.7819 0.0000 0.7819
Ti 0.9353 0.6608 0.2745
Ge 0.0000 0.5000 0.5000
Bi 0.3413 0.8413 0.5000
Bi 0.6587 0.1587 0.5000

2.
! PBE Ti8GeBi2, relaxed; values from VASP
! D(E_F), states/eV per cell: 12.435
! Magnetic moment, μB/f.u.: 0.00
! Space-group type: C2/m, No. 12
&SYSTEM
  ibrav = 0, nat = 11, ntyp = 3
/
ATOMIC_SPECIES
Ti 47.87 Ti.upf
Ge 72.64 Ge.upf
Bi 208.98 Bi.upf
CELL_PARAMETERS angstrom
7.9374 -2.3961 0.0000
7.9374 2.3961 0.0000
-0.3938 0.0000 5.2356
ATOMIC_POSITIONS crystal
Ti 0.0433 0.0433 0.2578
Ti 0.2340 0.2340 0.3371
Ti 0.3339 0.3339 0.8930
Ti 0.4150 0.4150 0.4618
Ti 0.5850 0.5850 0.5382
Ti 0.6661 0.6661 0.1070
Ti 0.7660 0.7660 0.6629
Ti 0.9567 0.9567 0.7422
Ge 0.5000 0.5000 0.0000
Bi 0.1500 0.1500 0.7938
Bi 0.8500 0.8500 0.2062

3.
! PBE Ti4GeBi, relaxed; values from VASP
! D(E_F), states/eV per cell: 15.338
! Magnetic moment, μB/f.u.: 0.00
! Space-group type: Cmcm, No. 63
&SYSTEM
  ibrav = 0, nat = 12, ntyp = 3
/
ATOMIC_SPECIES
Ti 47.87 Ti.upf
Ge 72.64 Ge.upf
Bi 208.98 Bi.upf
CELL_PARAMETERS angstrom
2.4243 -9.0740 0.0000
2.4243 9.0740 0.0000
0.0000 0.0000 5.4562
ATOMIC_POSITIONS crystal
Ti 0.0616 0.9384 0.7500
Ti 0.2065 0.7935 0.0038
Ti 0.2065 0.7935 0.4962
Ti 0.3711 0.6289 0.7500
Ti 0.6289 0.3711 0.2500
Ti 0.7935 0.2065 0.5038
Ti 0.7935 0.2065 0.9962
Ti 0.9384 0.0616 0.2500
Ge 0.0774 0.9226 0.2500
Ge 0.9226 0.0774 0.7500
Bi 0.3524 0.6476 0.2500
Bi 0.6476 0.3524 0.7500

4.
! PBE Ti3GeBi, relaxed; values from VASP
! D(E_F), states/eV per cell: 6.785
! Magnetic moment, μB/f.u.: 0.00
! Space-group type: Pm-3m, No. 221
&SYSTEM
  ibrav = 0, nat = 5, ntyp = 3
/
ATOMIC_SPECIES
Ti 47.87 Ti.upf
Ge 72.64 Ge.upf
Bi 208.98 Bi.upf
CELL_PARAMETERS angstrom
4.7724 0.0000 0.0000
0.0000 4.7724 0.0000
0.0000 0.0000 4.7724
ATOMIC_POSITIONS crystal
Ti 0.0000 0.0000 0.5000
Ti 0.0000 0.5000 0.0000
Ti 0.5000 0.0000 0.0000
Ge 0.0000 0.0000 0.0000
Bi 0.5000 0.5000 0.5000

Energy of formation, respectively: 95.9; -181.6; -128.6; 224.6 meV/atom.
Density, respectively: 6.69; 7.28; 6.55; 6.50 g/cm3.